Entry 1:
Crystalline Mg2Zn2SnO6 at its relaxed geometry, computed with PBE.

Computed properties:
- formation energy from raw total energies (eV per atom) = -1.780
- size of the total moment (μB/atom) = 0.00

abc: 5.2314 5.2314 5.1077
angles: 90.00 90.00 120.00
With the nearest neighbours (Å) after each atom.
Fractional coordinates of all 11 atoms:
Mg1 0.3333 0.6667 0.0000  6 O 2.18
Mg2 0.6667 0.3333 0.0000  6 O 2.18
Zn1 0.3333 0.6667 0.5000  6 O 2.12
Zn2 0.6667 0.3333 0.5000  6 O 2.12
Sn1 0.0000 0.0000 0.5000  6 O 2.15
O1 0.0000 0.3383 0.7398  2 Zn 2.12, 1 Sn 2.15, 2 Mg 2.18
O2 0.0000 0.6617 0.2602  2 Zn 2.12, 1 Sn 2.15, 2 Mg 2.18
O3 0.3383 0.0000 0.7398  2 Zn 2.12, 1 Sn 2.15, 2 Mg 2.18
O4 0.3383 0.3383 0.2602  2 Zn 2.12, 1 Sn 2.15, 2 Mg 2.18
O5 0.6617 0.0000 0.2602  2 Zn 2.12, 1 Sn 2.15, 2 Mg 2.18
O6 0.6617 0.6617 0.7398  2 Zn 2.12, 1 Sn 2.15, 2 Mg 2.18



Entry 2:
Crystalline Mg6ZnSnO8 at its relaxed geometry, computed with PBE.

Computed properties:
- formation energy from raw total energies (eV per atom) = -2.149
- size of the total moment (μB/atom) = 0.00

abc: 4.4383 4.4383 8.8575
angles: 90.00 90.00 90.00
With the nearest neighbours (Å) after each atom.
Fractional coordinates of all 16 atoms:
Mg1 0.0000 0.0000 0.0000  6 O 2.14-2.22
Mg2 0.0000 0.5000 0.2377  6 O 2.11-2.32
Mg3 0.0000 0.5000 0.7623  6 O 2.11-2.32
Mg4 0.5000 0.0000 0.2377  6 O 2.11-2.32
Mg5 0.5000 0.0000 0.7623  6 O 2.11-2.32
Mg6 0.5000 0.5000 0.0000  6 O 2.02-2.22
Zn1 0.0000 0.0000 0.5000  6 O 2.22-2.29
Sn1 0.5000 0.5000 0.5000  6 O 2.22-2.41
O1 0.0000 0.0000 0.2417  5 Mg 2.14-2.22, 1 Zn 2.29
O2 0.0000 0.0000 0.7583  5 Mg 2.14-2.22, 1 Zn 2.29
O3 0.0000 0.5000 0.0000  6 Mg 2.11-2.22
O4 0.0000 0.5000 0.5000  2 Sn 2.22, 2 Zn 2.22, 2 Mg 2.32
O5 0.5000 0.0000 0.0000  6 Mg 2.11-2.22
O6 0.5000 0.0000 0.5000  2 Sn 2.22, 2 Zn 2.22, 2 Mg 2.32
O7 0.5000 0.5000 0.2277  5 Mg 2.02-2.22
O8 0.5000 0.5000 0.7723  5 Mg 2.02-2.22



Entry 3:
Crystalline Mg6ZnSnO8 at its relaxed geometry, computed with PBE.

Computed properties:
- formation energy from raw total energies (eV per atom) = -2.148
- size of the total moment (μB/atom) = 0.00

abc: 4.4656 4.4656 8.7906
angles: 90.00 90.00 90.00
With the nearest neighbours (Å) after each atom.
Fractional coordinates of all 16 atoms:
Mg1 0.0000 0.0000 0.0000  6 O 2.18-2.23
Mg2 0.0000 0.0000 0.5000  6 O 2.21-2.23
Mg3 0.0000 0.5000 0.2374  6 O 2.09-2.31
Mg4 0.0000 0.5000 0.7626  6 O 2.09-2.31
Mg5 0.5000 0.0000 0.2374  6 O 2.09-2.31
Mg6 0.5000 0.0000 0.7626  6 O 2.09-2.31
Zn1 0.5000 0.5000 0.0000  6 O 2.02-2.23
Sn1 0.5000 0.5000 0.5000  6 O 2.23-2.38
O1 0.0000 0.0000 0.2482  6 Mg 2.18-2.23
O2 0.0000 0.0000 0.7518  6 Mg 2.18-2.23
O3 0.0000 0.5000 0.0000  4 Mg 2.09-2.23, 2 Zn 2.23
O4 0.0000 0.5000 0.5000  2 Sn 2.23, 4 Mg 2.23-2.31
O5 0.5000 0.0000 0.0000  4 Mg 2.09-2.23, 2 Zn 2.23
O6 0.5000 0.0000 0.5000  2 Sn 2.23, 4 Mg 2.23-2.31
O7 0.5000 0.5000 0.2293  1 Zn 2.02, 4 Mg 2.23
O8 0.5000 0.5000 0.7707  1 Zn 2.02, 4 Mg 2.23